Below is a geometry-optimized Ac3PrSn structure, with properties calculated at the GGA-PBE level.

The structure belongs to space group C2/c (No. 15); the cell edges are 15.9019, 15.0638 and 6.8616 Å and the angles 90.00°, 98.71° and 90.00°. The inequivalent atoms are Ac at (0.0799, 0.1093, 0.4960), Ac at (0.1984, 0.2965, 0.2108), Ac at (0.1976, 0.4470, 0.6606), Pr at (0.0000, 0.3108, 0.7500), Pr at (0.0000, 0.4398, 0.2500) and Sn at (0.1288, 0.1099, 0.9858).

The magnetic moment is 0.00 μB per atom. The calculation puts the formation energy at -0.22 eV per atom. The value obtained for the density of states at the Fermi level is 1.19 states/eV/atom.


Below is a geometry-optimized AcPr5Sn4 structure, with properties calculated at the GGA-PBE level.

The structure belongs to space group Pmmn (No. 59, origin choice 2); the cell edges are 8.9506, 10.4720 and 8.1303 Å and the angles 90.00°, 90.00° and 90.00°. The inequivalent atoms are Ac at (0.2500, 0.2500, 0.1705), Pr at (0.0140, 0.0475, 0.7677), Pr at (0.2500, 0.7500, 0.5878), Sn at (0.0899, 0.7500, 0.9484) and Sn at (0.2500, 0.0422, 0.4760).

The magnetic moment is 0.00 μB per atom. The calculation puts the formation energy at -0.33 eV per atom. The value obtained for the density of states at the Fermi level is 1.13 states/eV/atom.


Below is a geometry-optimized Ac2PrSn structure, with properties calculated at the GGA-PBE level.

The structure belongs to space group P4/mmm (No. 123); the cell edges are 4.4704, 4.4704 and 7.4062 Å and the angles 90.00°, 90.00° and 90.00°. The inequivalent atoms are Ac at (0.0000, 0.0000, 0.2282), Pr at (0.5000, 0.5000, 0.5000) and Sn at (0.5000, 0.5000, 0.0000).

The magnetic moment is 0.00 μB per atom. The calculation puts the formation energy at -0.29 eV per atom. The value obtained for the density of states at the Fermi level is 1.18 states/eV/atom.